Entry 1:
La2Y7Tm3 | PBE | optimized geometry

Output
Symmetry: P2/m (10)
Energy of formation from the pure elements (eV per atom): 0.09

Lattice parameters (Å, degrees): 3.523 6.388 18.016 75.39 90.00 90.00
Positions (direct):
1 La 0.500 0.612 0.328
2 La 0.500 0.388 0.672
3 Y 0.500 0.240 0.502
4 Y 0.500 0.760 0.498
5 Y 0.000 0.561 0.162
6 Y 0.000 0.000 0.000
7 Y 0.000 0.439 0.838
8 Y 0.500 0.937 0.833
9 Y 0.500 0.063 0.167
10 Tm 0.500 0.500 0.000
11 Tm 0.000 0.111 0.343
12 Tm 0.000 0.889 0.657

---

Entry 2:
RePbNF2 | PBE | optimized geometry

Output
Formation energy without anion corrections (kJ/mol of atoms): 64.5
Symmetry: P4/mmm (123)
Polymorph energy (0 for the lowest one) (meV per atom): 1222.9

Lattice parameters (Å, degrees): 4.504 4.504 4.561 90.00 90.00 90.00
Positions (direct):
1 Pb 0.000 0.000 0.000
2 Re 0.500 0.500 0.500
3 N 0.000 0.000 0.500
4 F 0.000 0.500 0.000
5 F 0.500 0.000 0.000

---

Entry 3:
Mg3Si3Ni | PBE | optimized geometry

Output
Formation energy without anion corrections (kJ/mol of atoms): -21.5
Symmetry: C2/m (12)

Lattice parameters (Å, degrees): 4.038 5.122 12.582 84.34 80.77 66.78
Positions (direct):
1 Mg 0.528 0.326 0.618
2 Mg 0.472 0.674 0.382
3 Mg 0.248 0.263 0.240
4 Mg 0.752 0.737 0.760
5 Mg 0.399 0.288 0.914
6 Mg 0.601 0.712 0.086
7 Si 0.864 0.734 0.539
8 Si 0.136 0.266 0.461
9 Si 0.111 0.856 0.923
10 Si 0.889 0.144 0.077
11 Si 0.959 0.844 0.237
12 Si 0.041 0.156 0.763
13 Ni 0.755 0.093 0.397
14 Ni 0.245 0.907 0.603

---

Entry 4:
LaNd3Sm4S8 | PBE | optimized geometry

Output
Formation energy without anion corrections (kJ/mol of atoms): -196.8
Symmetry: R-3m (166)

Lattice parameters (Å, degrees): 8.094 8.112 8.094 119.93 120.00 90.00
Positions (direct):
1 La 0.000 0.500 0.000
2 Nd 0.500 0.500 0.000
3 Nd 0.500 0.500 0.500
4 Nd 0.000 0.500 0.500
5 Sm 0.500 0.000 0.000
6 Sm 0.500 0.000 0.500
7 Sm 0.000 0.000 0.000
8 Sm 0.000 0.000 0.500
9 S 0.253 0.757 0.004
10 S 0.253 0.757 0.507
11 S 0.248 0.244 0.496
12 S 0.751 0.757 0.004
13 S 0.249 0.243 0.996
14 S 0.752 0.756 0.504
15 S 0.747 0.243 0.493
16 S 0.747 0.243 0.996